1.
First-principles (PBE-GGA) data for an optimized crystal structure of NbVGa3, as listed in Alexandria via LeMat-Bulk.

The energy relative to the elements is 0.71 eV/atom. The value obtained for the energy above the most stable polymorph in this dataset is 61.4 kJ per mole of atoms.

abc: 4.6357 4.6357 4.6357
angles: 90.00 90.00 90.00
Closest atoms and distances in Å follow each position.
Fractional coordinates of all 5 atoms:
Nb: 0.5000 0.5000 0.5000  12 Ga 3.28
Ga: 0.0000 0.5000 0.0000  2 V 2.32
Ga: 0.0000 0.0000 0.5000  2 V 2.32
Ga: 0.5000 0.0000 0.0000  2 V 2.32
V: 0.0000 0.0000 0.0000  6 Ga 2.32



2.
First-principles (PBE-GGA) data for an optimized crystal structure of HgAsOs, as listed in Alexandria via LeMat-Bulk.

The energy relative to the elements is 0.56 eV/atom. The value obtained for the energy above the most stable polymorph in this dataset is 23.5 kJ per mole of atoms.

abc: 8.4229 8.1748 2.9483
angles: 84.55 75.05 20.39
Closest atoms and distances in Å follow each position.
Fractional coordinates of all 3 atoms:
As: 0.0363 0.0363 0.9637  2 Os 2.42
Os: 0.6537 0.6537 0.3463  2 As 2.42
Hg: 0.3100 0.3100 0.6900  2 Os 2.93, 6 Hg 2.95-3.02



3.
First-principles (PBE-GGA) data for an optimized crystal structure of Zr2AgRh, as listed in Alexandria via LeMat-Bulk.

The energy relative to the elements is -0.27 eV/atom.

abc: 5.6942 5.6942 5.6942
angles: 145.14 132.26 60.46
Closest atoms and distances in Å follow each position.
Fractional coordinates of all 4 atoms:
Ag: 0.5190 0.5190 0.0000  8 Zr 2.90-3.21, 2 Rh 2.91
Rh: 0.7582 0.2582 0.5000  6 Zr 2.74-2.87, 2 Ag 2.91
Zr: 0.9761 0.9761 0.0000  2 Rh 2.74, 4 Ag 2.90
Zr: 0.2468 0.7468 0.5000  4 Rh 2.87, 2 Zr 3.16, 2 Ag 3.18



4.
First-principles (PBE-GGA) data for an optimized crystal structure of MoSe, as listed in Alexandria via LeMat-Bulk.

The value obtained for the energy above the most stable polymorph in this dataset is 97.0 kJ per mole of atoms.

abc: 4.7110 4.7110 7.4988
angles: 90.00 90.00 120.00
Closest atoms and distances in Å follow each position.
Fractional coordinates of all 8 atoms:
Mo: 0.3333 0.6667 0.0878  1 Mo 2.43, 1 Se 2.53
Mo: 0.6667 0.3333 0.5878  1 Mo 2.43, 1 Se 2.53
Mo: 0.6667 0.3333 0.9122  1 Mo 2.43, 1 Se 2.53
Mo: 0.3333 0.6667 0.4122  1 Mo 2.43, 1 Se 2.53
Se: 0.0000 0.0000 0.2500  3 Se 2.72, 6 Mo 2.98
Se: 0.0000 0.0000 0.7500  3 Se 2.72, 6 Mo 2.98
Se: 0.3333 0.6667 0.7500  2 Mo 2.53, 3 Se 2.72
Se: 0.6667 0.3333 0.2500  2 Mo 2.53, 3 Se 2.72



5.
First-principles (PBE-GGA) data for an optimized crystal structure of TaGeO, as listed in Alexandria via LeMat-Bulk.

The value obtained for the energy above the most stable polymorph in this dataset is 3.3 kJ per mole of atoms.

abc: 3.0794 6.9221 3.7733
angles: 90.00 90.00 90.00
Closest atoms and distances in Å follow each position.
Fractional coordinates of all 6 atoms:
Ta: 0.0000 0.6862 0.5000  4 O 2.15-2.19
Ta: 0.5000 0.3138 0.0000  4 O 2.15-2.19
Ge: 0.0000 0.1020 0.5000  6 Ge 2.81-3.08, 5 Ta 2.84-2.88, 2 O 2.93
Ge: 0.5000 0.8980 0.0000  6 Ge 2.81-3.08, 5 Ta 2.84-2.88, 2 O 2.93
O: 0.0000 0.5387 0.0000  4 Ta 2.15-2.19
O: 0.5000 0.4613 0.5000  4 Ta 2.15-2.19



6.
First-principles (PBE-GGA) data for an optimized crystal structure of Zn2As, as listed in Alexandria via LeMat-Bulk.

The energy relative to the elements is 0.09 eV/atom. The value obtained for the energy above the most stable polymorph in this dataset is 6.5 kJ per mole of atoms.

abc: 6.7845 6.7845 4.2244
angles: 90.00 90.00 146.68
Closest atoms and distances in Å follow each position.
Fractional coordinates of all 6 atoms:
Zn: 0.4363 0.5637 0.2500  2 Zn 2.68, 4 As 2.96
Zn: 0.5637 0.4363 0.7500  2 Zn 2.68, 4 As 2.96
Zn: 0.7577 0.2423 0.2500  4 As 2.65, 4 Zn 2.88
Zn: 0.2423 0.7577 0.7500  4 As 2.65, 4 Zn 2.88
As: 0.1188 0.8812 0.2500  8 Zn 2.65-2.96
As: 0.8812 0.1188 0.7500  8 Zn 2.65-2.96



Across the entries above, uncorrected energy takes the values -4.9484 -4.8330 -7.0923 -6.4321 -8.3369 -2.3122 eV/atom, respectively.